# 1
# ZrTlTc2O (GGA-PBE, relaxed)
data_ZrTlTc2O
_cell_length_a 5.1420
_cell_length_b 5.1420
_cell_length_c 4.0194
_cell_angle_alpha 90.00
_cell_angle_beta 90.00
_cell_angle_gamma 90.00
_symmetry_space_group_name_H-M 'P 4/m m m'
_symmetry_Int_Tables_number 123
_symmetry_space_group_name_Hall '-P 4 2'
loop_
_atom_site_label
_atom_site_fract_x
_atom_site_fract_y
_atom_site_fract_z
_atom_site_occupancy
Zr1 0.0000 0.0000 0.0000 1
Tl1 0.5000 0.5000 0.5000 1
Tc1 0.0000 0.5000 0.0000 1
O1 0.0000 0.0000 0.5000 1
# - formation energy from raw total energies (eV/atom) = 0.666



# 2
# SrAcMgAu (GGA-PBE, relaxed)
data_SrAcMgAu
_cell_length_a 7.9770
_cell_length_b 7.9770
_cell_length_c 7.9770
_cell_angle_alpha 90.00
_cell_angle_beta 90.00
_cell_angle_gamma 90.00
_symmetry_space_group_name_H-M 'F -4 3 m'
_symmetry_Int_Tables_number 216
_symmetry_space_group_name_Hall 'F -4 2 3'
loop_
_atom_site_label
_atom_site_fract_x
_atom_site_fract_y
_atom_site_fract_z
_atom_site_occupancy
Sr1 0.0000 0.0000 0.0000 1
Ac1 0.0000 0.0000 0.5000 1
Mg1 0.2500 0.2500 0.7500 1
Au1 0.2500 0.2500 0.2500 1
# - raw total energy (eV/atom) = -3.004



# 3
# MgNb4 (GGA-PBE, relaxed)
data_MgNb4
_cell_length_a 4.7270
_cell_length_b 4.7270
_cell_length_c 4.7270
_cell_angle_alpha 90.00
_cell_angle_beta 90.00
_cell_angle_gamma 90.00
_symmetry_space_group_name_H-M 'P m -3 m'
_symmetry_Int_Tables_number 221
_symmetry_space_group_name_Hall '-P 4 2 3'
loop_
_atom_site_label
_atom_site_fract_x
_atom_site_fract_y
_atom_site_fract_z
_atom_site_occupancy
Mg1 0.0000 0.0000 0.0000 1
Nb1 0.0000 0.0000 0.5000 1
Nb2 0.5000 0.5000 0.5000 1
# - raw total energy (eV/atom) = -6.649



no.,DOS(E_F) (states/eV per cell)
1,3.488
2,15.109
3,6.421